VASP calculation (PBE) on Tl2CoBr after structural relaxation.

Summary:
energy relative to the elements, uncorrected	42	kJ per mole of atoms
energy	-2.94	eV per atom

The structure in CIF format:
```
data_Tl2CoBr
_symmetry_space_group_name_H-M 'I 4/m m m'
_symmetry_Int_Tables_number 139
_symmetry_space_group_name_Hall '-I 4 2'
_cell_length_a 4.6561
_cell_length_b 4.6561
_cell_length_c 9.6796
_cell_angle_alpha 90.00
_cell_angle_beta 90.00
_cell_angle_gamma 90.00
loop_
_atom_site_label
_atom_site_type_symbol
_atom_site_fract_x
_atom_site_fract_y
_atom_site_fract_z
Tl1 Tl 0.0000 0.5000 0.2500
Co1 Co 0.0000 0.0000 0.0000
Br1 Br 0.0000 0.0000 0.5000
```

VASP calculation (PBE) on Tb3Pm4Tl after structural relaxation.

Summary:
energy	-4.41	eV per atom
E_form	-0.0009	eV per atom

The structure in CIF format:
```
data_Tb3Pm4Tl
_symmetry_space_group_name_H-M 'P 4/m m m'
_symmetry_Int_Tables_number 123
_symmetry_space_group_name_Hall '-P 4 2'
_cell_length_a 4.2041
_cell_length_b 4.2041
_cell_length_c 14.4899
_cell_angle_alpha 90.00
_cell_angle_beta 90.00
_cell_angle_gamma 90.00
loop_
_atom_site_label
_atom_site_type_symbol
_atom_site_fract_x
_atom_site_fract_y
_atom_site_fract_z
Tb1 Tb 0.0000 0.0000 0.0000
Tb2 Tb 0.0000 0.0000 0.2542
Pm1 Pm 0.5000 0.5000 0.1279
Pm2 Pm 0.5000 0.5000 0.3861
Tl1 Tl 0.0000 0.0000 0.5000
```

VASP calculation (PBE) on Na5Li3I12 after structural relaxation.

Summary:
energy relative to the elements, uncorrected	-72	kJ per mole of atoms
energy	-2.29	eV per atom

The structure in CIF format:
```
data_Na5Li3I12
_symmetry_space_group_name_H-M 'I a -3 d'
_symmetry_Int_Tables_number 230
_symmetry_space_group_name_Hall '-I 4bd 2c 3'
_cell_length_a 18.7058
_cell_length_b 18.7058
_cell_length_c 18.7058
_cell_angle_alpha 90.00
_cell_angle_beta 90.00
_cell_angle_gamma 90.00
loop_
_atom_site_label
_atom_site_type_symbol
_atom_site_fract_x
_atom_site_fract_y
_atom_site_fract_z
Na1 Na 0.0000 0.0000 0.0000
Na2 Na 0.0000 0.2500 0.3750
Li1 Li 0.0000 0.2500 0.1250
I1 I 0.0317 0.0897 0.6444
```

VASP calculation (PBE) on Ba2MgTe after structural relaxation.

Summary:
energy relative to the elements, uncorrected	-65	kJ per mole of atoms
energy	-2.82	eV per atom

The structure in CIF format:
```
data_Ba2MgTe
_symmetry_space_group_name_H-M 'P m m 2'
_symmetry_Int_Tables_number 25
_cell_length_a 5.0695
_cell_length_b 5.0803
_cell_length_c 7.2042
_cell_angle_alpha 90.00
_cell_angle_beta 90.00
_cell_angle_gamma 90.00
loop_
_symmetry_equiv_pos_as_xyz
'x,y,z'
'-x,-y,z'
'-x,y,z'
'x,-y,z'
loop_
_atom_site_label
_atom_site_type_symbol
_atom_site_fract_x
_atom_site_fract_y
_atom_site_fract_z
Ba1 Ba 0.0000 0.0000 0.0000
Ba2 Ba 0.5000 0.5000 0.4985
Mg1 Mg 0.5000 0.5000 0.9976
Te1 Te 0.0000 0.0000 0.4999
```

VASP calculation (PBE) on La3Cd3Pd8 after structural relaxation.

Summary:
energy	-4.82	eV per atom
E_form	-0.5979	eV per atom

The structure in CIF format:
```
data_La3Cd3Pd8
_symmetry_space_group_name_H-M 'I m m m'
_symmetry_Int_Tables_number 71
_symmetry_space_group_name_Hall '-I 2 2'
_cell_length_a 4.6526
_cell_length_b 9.2635
_cell_length_c 13.7857
_cell_angle_alpha 90.00
_cell_angle_beta 90.00
_cell_angle_gamma 90.00
loop_
_atom_site_label
_atom_site_type_symbol
_atom_site_fract_x
_atom_site_fract_y
_atom_site_fract_z
La1 La 0.0000 0.0000 0.0000
La2 La 0.0000 0.0000 0.2917
Cd1 Cd 0.0000 0.2236 0.5000
Cd2 Cd 0.0000 0.5000 0.0000
Pd1 Pd 0.0000 0.2660 0.1160
Pd2 Pd 0.0000 0.3471 0.3101
```

VASP calculation (PBE) on LiMnMo2 after structural relaxation.

Summary:
energy	-7.90	eV per atom
E_form	0.2840	eV per atom

The structure in CIF format:
```
data_LiMnMo2
_symmetry_space_group_name_H-M 'C m m m'
_symmetry_Int_Tables_number 65
_symmetry_space_group_name_Hall '-C 2 2'
_cell_length_a 3.1061
_cell_length_b 4.2282
_cell_length_c 8.9510
_cell_angle_alpha 90.00
_cell_angle_beta 90.00
_cell_angle_gamma 90.00
loop_
_atom_site_label
_atom_site_type_symbol
_atom_site_fract_x
_atom_site_fract_y
_atom_site_fract_z
Li1 Li 0.0000 0.0000 0.0000
Mn1 Mn 0.0000 0.0000 0.5000
Mo1 Mo 0.0000 0.5000 0.2704
```

VASP calculation (PBE) on AlSbSe2 after structural relaxation.

Summary:
energy relative to the elements, uncorrected	6	kJ per mole of atoms
energy	-3.65	eV per atom

The structure in CIF format:
```
data_AlSbSe2
_symmetry_space_group_name_H-M 'F m -3 m'
_symmetry_Int_Tables_number 225
_symmetry_space_group_name_Hall '-F 4 2 3'
_cell_length_a 7.0234
_cell_length_b 7.0234
_cell_length_c 7.0234
_cell_angle_alpha 90.00
_cell_angle_beta 90.00
_cell_angle_gamma 90.00
loop_
_atom_site_label
_atom_site_type_symbol
_atom_site_fract_x
_atom_site_fract_y
_atom_site_fract_z
Al1 Al 0.0000 0.0000 0.0000
Sb1 Sb 0.0000 0.0000 0.5000
Se1 Se 0.2500 0.2500 0.2500
```

VASP calculation (PBE) on Sc4FeCo2 after structural relaxation.

Summary:
energy	-7.01	eV per atom
E_form	-0.1574	eV per atom

The structure in CIF format:
```
data_Sc4FeCo2
_symmetry_space_group_name_H-M 'R -3 m'
_symmetry_Int_Tables_number 166
_symmetry_space_group_name_Hall '-R 3 2"'
_cell_length_a 4.4510
_cell_length_b 4.4510
_cell_length_c 20.9141
_cell_angle_alpha 90.00
_cell_angle_beta 90.00
_cell_angle_gamma 120.00
loop_
_atom_site_label
_atom_site_type_symbol
_atom_site_fract_x
_atom_site_fract_y
_atom_site_fract_z
Sc1 Sc 0.0000 0.0000 0.1232
Sc2 Sc 0.0000 0.0000 0.3747
Fe1 Fe 0.0000 0.0000 0.5000
Co1 Co 0.0000 0.0000 0.2464
```